[1]
# PBEsol LiP2Rh, relaxed
# * calculated formation energy: -290 meV/atom
data_LiP2Rh
_cell_length_a 3.800
_cell_length_b 3.800
_cell_length_c 3.487
_cell_angle_alpha 90.00
_cell_angle_beta 90.00
_cell_angle_gamma 90.00
_space_group_name_H-M_alt 'P 4/m m m'
_space_group_IT_number 123
_space_group_name_Hall '-P 4 2'
loop_
_atom_site_label
_atom_site_type_symbol
_atom_site_fract_x
_atom_site_fract_y
_atom_site_fract_z
Li1 Li 0.000 0.000 0.000
P1 P 0.000 0.500 0.500
Rh1 Rh 0.500 0.500 0.000



[2]
# PBEsol Sr2Cd2Sn, relaxed
# * calculated formation energy: -303 meV/atom
data_Sr2Cd2Sn
_cell_length_a 4.018
_cell_length_b 4.018
_cell_length_c 19.747
_cell_angle_alpha 90.00
_cell_angle_beta 90.00
_cell_angle_gamma 90.00
_space_group_name_H-M_alt 'I 4/m m m'
_space_group_IT_number 139
_space_group_name_Hall '-I 4 2'
loop_
_atom_site_label
_atom_site_type_symbol
_atom_site_fract_x
_atom_site_fract_y
_atom_site_fract_z
Sr1 Sr 0.000 0.000 0.099
Cd1 Cd 0.000 0.500 0.250
Sn1 Sn 0.000 0.000 0.500



[3]
# PBEsol LiICl2, relaxed
# * formation energy without anion corrections: -0.92 eV/atom
data_LiICl2
_cell_length_a 4.0141
_cell_length_b 4.0141
_cell_length_c 22.6871
_cell_angle_alpha 90.00
_cell_angle_beta 90.00
_cell_angle_gamma 120.00
_space_group_name_H-M_alt 'R -3 m'
_space_group_IT_number 166
_space_group_name_Hall '-R 3 2"'
loop_
_atom_site_label
_atom_site_type_symbol
_atom_site_fract_x
_atom_site_fract_y
_atom_site_fract_z
Li1 Li 0.0000 0.0000 0.0000
I1 I 0.0000 0.0000 0.5000
Cl1 Cl 0.0000 0.0000 0.3873



| no. | total magnetic moment (μB per formula unit) |
| --- | --- |
| 1 | 0.000 |
| 2 | 0.000 |
| 3 | 0.000 |